Ta2TiTl2S6, relaxed, DFT PBE; calculated volume = 22.73 Å³ per atom; energy relative to the elements, uncorrected = -10.162 eV per formula unit; spin magnetization = 0.0 μB per formula unit; crystal system = monoclinic; final energy = -6.48 eV/atom; density of states at the Fermi level = 6.1 states/eV per cell
1.0
5.884 -0.013 0.046
-2.919 5.109 0.046
-1.050 -1.805 8.295
S Ta Ti Tl
6 2 1 2
Cartesian
3.420 2.523 2.713
-1.506 0.768 5.674
0.461 0.792 2.658
1.454 2.499 5.729
0.503 4.220 2.713
1.411 -0.930 5.674
2.408 0.801 4.194
-0.494 2.490 4.194
-0.525 -0.903 4.148
-1.443 4.250 0.046
4.408 0.846 0.046

Sr2LiTm, relaxed, DFT PBE; ΔH_f (0 K) = 36.2 kJ per mole of atoms; ΔE to the lowest computed polymorph = 0.198 eV per atom; calculated volume = 39.05 Å³ per atom; spin magnetization = 0.3 μB per formula unit; crystal system = trigonal; final energy = -2.06 eV/atom; density of states at the Fermi level = 4.4 states/eV per cell
1.0
-0.765 -0.057 -3.661
0.825 -3.027 -2.036
-11.646 -5.900 0.616
Sr Tm Li
2 1 1
Cartesian
-3.096 -4.402 -5.017
-8.491 -4.582 -0.064
0.000 0.000 0.000
-5.793 -4.492 -2.541

ZrHPt2, relaxed, DFT PBE; ΔE to the lowest computed polymorph = 0.291 eV per atom; calculated volume = 15.68 Å³ per atom; spin magnetization = 0.0 μB per formula unit; crystal system = cubic; final energy = -6.10 eV/atom; density of states at the Fermi level = 3.3 states/eV per cell
1.0
0.000 3.154 3.154
3.154 0.000 3.154
3.154 3.154 0.000
Pt H Zr
2 1 1
Cartesian
1.577 1.577 1.577
4.731 4.731 4.731
0.000 0.000 0.000
3.154 3.154 3.154

PaCuAu2, relaxed, DFT PBE; ΔH_f (0 K) = -21.2 kJ per mole of atoms; ΔE to the lowest computed polymorph = 0.092 eV per atom; calculated volume = 18.86 Å³ per atom; spin magnetization = 0.6 μB per formula unit; crystal system = tetragonal; final energy = -5.26 eV/atom; density of states at the Fermi level = 3.7 states/eV per cell
1.0
3.296 0.000 0.000
0.000 3.296 0.000
0.000 0.000 6.945
Au Cu Pa
2 1 1
Cartesian
0.000 0.000 1.444
0.000 0.000 5.501
1.648 1.648 0.000
1.648 1.648 3.472

La2Fe2Os, relaxed, DFT PBE; ΔH_f (0 K) = 22.1 kJ per mole of atoms; ΔE to the lowest computed polymorph = 0.000 eV per atom; calculated volume = 19.95 Å³ per atom; spin magnetization = 2.8 μB per formula unit; crystal system = tetragonal; final energy = -7.37 eV/atom; density of states at the Fermi level = 17.8 states/eV per cell
1.0
-4.026 2.496 4.568
-2.211 -6.048 1.356
3.299 -0.494 3.177
La Fe Os
4 4 2
Cartesian
-2.321 -0.113 5.732
-0.026 -0.589 3.275
-2.912 -3.456 5.827
-0.617 -3.932 3.369
-2.783 0.809 3.016
-3.454 -4.361 2.909
-1.330 -1.968 1.075
-4.907 -1.583 4.850
0.000 0.000 0.000
-3.118 -1.776 2.962

Be3Pt, relaxed, DFT PBE; ΔH_f (0 K) = -20.8 kJ per mole of atoms; calculated volume = 10.62 Å³ per atom; spin magnetization = 0.0 μB per formula unit; crystal system = trigonal; final energy = -4.52 eV/atom; density of states at the Fermi level = 1.2 states/eV per cell
1.0
-1.553 1.812 3.737
-2.729 0.062 -3.495
2.508 -3.627 0.470
Pt Be
1 3
Cartesian
0.478 -0.907 2.103
-2.141 0.937 0.121
-0.110 -1.782 -1.512
0.000 0.000 0.000

Which formula does entry 5 have?
La2Fe2Os